Compound: LuScTlIn
Source: Alexandria
Functional: PBE
Structure: relaxed

```
data_LuScTlIn
_chemical_formula_sum 'Lu4 Sc4 Tl4 In4'
_cell_length_a 7.312
_cell_length_b 7.312
_cell_length_c 7.312
_cell_angle_alpha 90.00
_cell_angle_beta 90.00
_cell_angle_gamma 90.00
_symmetry_space_group_name_H-M 'F -4 3 m'
_symmetry_Int_Tables_number 216
_symmetry_space_group_name_Hall 'F -4 2 3'
loop_
_atom_site_label
_atom_site_fract_x
_atom_site_fract_y
_atom_site_fract_z
Lu1 0.000 0.000 0.000
Sc1 0.000 0.000 0.500
Tl1 0.250 0.250 0.750
In1 0.250 0.250 0.250
```

The value obtained for the total magnetic moment is 0.00 Bohr magnetons per cell. The total energy is -68.93 eV per cell.